Record 1
Here is SnSbI2 at its PBEsol-relaxed geometry from Alexandria. Energies are from meta-GGA SCAN.

```
data_SnSbI2
_chemical_formula_sum 'Sn4 Sb4 I8'
_cell_length_a 7.788
_cell_length_b 7.788
_cell_length_c 7.788
_cell_angle_alpha 90.00
_cell_angle_beta 90.00
_cell_angle_gamma 90.00
_space_group_name_H-M_alt 'P 1'
_space_group_IT_number 1
loop_
_space_group_symop_operation_xyz
'x,y,z'
loop_
_atom_site_label
_atom_site_fract_x
_atom_site_fract_y
_atom_site_fract_z
_atom_site_occupancy
Sn1 0.000 0.000 0.000 1
Sn2 0.000 0.500 0.500 1
Sn3 0.500 0.000 0.500 1
Sn4 0.500 0.500 0.000 1
Sb1 0.000 0.000 0.500 1
Sb2 0.000 0.500 0.000 1
Sb3 0.500 0.000 0.000 1
Sb4 0.500 0.500 0.500 1
I1 0.250 0.250 0.250 1
I2 0.250 0.250 0.750 1
I3 0.250 0.750 0.250 1
I4 0.250 0.750 0.750 1
I5 0.750 0.250 0.250 1
I6 0.750 0.250 0.750 1
I7 0.750 0.750 0.250 1
I8 0.750 0.750 0.750 1
```

Calculated values
The symmetry is Fm-3m. The crystal system is cubic.

***

Record 2
Here is SnSbI3 at its PBEsol-relaxed geometry from Alexandria. Energies are from meta-GGA SCAN.

```
data_SnSbI3
_chemical_formula_sum 'Sn1 Sb1 I3'
_cell_length_a 5.906
_cell_length_b 5.906
_cell_length_c 5.906
_cell_angle_alpha 90.00
_cell_angle_beta 90.00
_cell_angle_gamma 90.00
_space_group_name_H-M_alt 'P 1'
_space_group_IT_number 1
loop_
_space_group_symop_operation_xyz
'x,y,z'
loop_
_atom_site_label
_atom_site_fract_x
_atom_site_fract_y
_atom_site_fract_z
_atom_site_occupancy
Sn1 0.000 0.000 0.000 1
Sb1 0.500 0.500 0.500 1
I1 0.000 0.500 0.500 1
I2 0.500 0.000 0.500 1
I3 0.500 0.500 0.000 1
```

Calculated values
The symmetry is Pm-3m. The crystal system is cubic.

***

Record 3
Here is SnSb2TeI at its PBEsol-relaxed geometry from Alexandria. Energies are from meta-GGA SCAN.

```
data_SnSb2TeI
_chemical_formula_sum 'Sn1 Sb2 Te1 I1'
_cell_length_a 5.696
_cell_length_b 5.696
_cell_length_c 5.661
_cell_angle_alpha 90.00
_cell_angle_beta 90.00
_cell_angle_gamma 90.00
_space_group_name_H-M_alt 'P 1'
_space_group_IT_number 1
loop_
_space_group_symop_operation_xyz
'x,y,z'
loop_
_atom_site_label
_atom_site_fract_x
_atom_site_fract_y
_atom_site_fract_z
_atom_site_occupancy
Sn1 0.000 0.000 0.000 1
Sb1 0.000 0.500 0.500 1
Sb2 0.500 0.000 0.500 1
Te1 0.500 0.500 0.000 1
I1 0.500 0.500 0.500 1
```

Calculated values
The symmetry is P4/mmm. The crystal system is tetragonal.

***

no.,ΔE_f (raw) (eV per atom)
1,0.386
2,0.249
3,1.063